# Tb2Ta2InRh5 | Alexandria via LeMat-Bulk | PBE-GGA | relaxed
# crystal system: tetragonal
# Fermi-level density of states: 15.47 states/eV/cell
# DFT total energy: -7.66 eV per atom
data_Tb2Ta2InRh5
_chemical_formula_sum 'Tb4 Ta4 In2 Rh10'
_cell_length_a 10.762
_cell_length_b 10.762
_cell_length_c 3.289
_cell_angle_alpha 90.00
_cell_angle_beta 90.00
_cell_angle_gamma 90.00
_space_group_name_H-M_alt 'P 4/m b m'
_space_group_IT_number 127
_space_group_name_Hall '-P 4 2ab'
loop_
_atom_site_label
_atom_site_type_symbol
_atom_site_fract_x
_atom_site_fract_y
_atom_site_fract_z
_atom_site_occupancy
Tb1 Tb 0.172 0.328 0.000 1
Ta1 Ta 0.135 0.635 0.000 1
In1 In 0.000 0.000 0.000 1
Rh1 Rh 0.000 0.500 0.500 1
Rh2 Rh 0.048 0.796 0.500 1